No. 1
Here is CsNiPt after structural relaxation from OQMD. Energies are from PBE.

a = 4.8517 Å, b = 4.8517 Å, c = 4.8517 Å
α = 60.00°, β = 60.00°, γ = 60.00°
With the nearest neighbours (Å) after each atom.
Atoms (fractional coordinates):
Cs (0.2500, 0.2500, 0.2500)  4 Pt 2.97
Ni (0.7500, 0.7500, 0.7500)  4 Pt 2.97
Pt (0.0000, 0.0000, 0.0000)  4 Cs 2.97, 4 Ni 2.97

Values from the calculation:
energy above the most stable polymorph in this dataset: 0 meV per atom
size of the total moment: 0.801 μB per cell
space group: F-43m (216)

No. 2
Here is HfBe2Cu2 after structural relaxation from OQMD. Energies are from PBE.

a = 5.4046 Å, b = 5.4046 Å, c = 5.4046 Å
α = 141.35°, β = 141.35°, γ = 55.82°
With the nearest neighbours (Å) after each atom.
Atoms (fractional coordinates):
Be (0.3915, 0.3915, 0.0000)  1 Be 2.07, 4 Cu 2.24
Be (0.6085, 0.6085, 0.0000)  1 Be 2.07, 4 Cu 2.24
Cu (0.7500, 0.2500, 0.5000)  4 Be 2.24
Cu (0.2500, 0.7500, 0.5000)  4 Be 2.24
Hf (0.0000, 0.0000, 0.0000)  8 Be 2.73, 8 Cu 2.98

Values from the calculation:
energy above the most stable polymorph in this dataset: 0 meV per atom
size of the total moment: 0.001 μB per cell
space group: I4/mmm (139)

No. 3
Here is SrErU after structural relaxation from OQMD. Energies are from PBE.

a = 8.0046 Å, b = 8.0046 Å, c = 5.8515 Å
α = 90.00°, β = 90.00°, γ = 120.00°
With the nearest neighbours (Å) after each atom.
Atoms (fractional coordinates):
Er (0.6667, 0.3333, 0.0000)  3 U 3.44, 6 Sr 3.75
Er (0.3333, 0.6667, 0.0000)  3 U 3.44, 6 Sr 3.75
Er (0.0000, 0.0000, 0.5000)  6 U 3.27, 3 Sr 3.61
Sr (0.5488, 0.0000, 0.5000)  5 Er 3.61-3.75
Sr (0.4512, 0.4512, 0.5000)  5 Er 3.61-3.75
Sr (0.0000, 0.5488, 0.5000)  5 Er 3.61-3.75
U (0.1812, 0.0000, 0.0000)  2 U 2.51
U (0.0000, 0.1812, 0.0000)  2 U 2.51
U (0.8188, 0.8188, 0.0000)  2 U 2.51

Values from the calculation:
energy above the most stable polymorph in this dataset: 0 meV per atom
size of the total moment: 6.356 μB per cell
space group: P-62m (189)

No. 4
Here is BaHgSe2 after structural relaxation from OQMD. Energies are from PBE.

a = 4.4329 Å, b = 7.6962 Å, c = 7.6962 Å
α = 99.28°, β = 90.00°, γ = 90.00°
With the nearest neighbours (Å) after each atom.
Atoms (fractional coordinates):
Ba (0.0000, 0.8750, 0.4537)  7 Se 3.35-3.44
Ba (0.0000, 0.4537, 0.8750)  7 Se 3.35-3.44
Hg (0.5000, 0.3865, 0.3865)  2 Se 2.51
Hg (0.5000, 0.9719, 0.9719)  3 Se 2.60-2.67
Se (0.0000, 0.1220, 0.1220)  2 Hg 2.67
Se (0.5000, 0.6142, 0.1869)  1 Hg 2.51
Se (0.5000, 0.1869, 0.6142)  1 Hg 2.51
Se (0.5000, 0.7109, 0.7109)  1 Hg 2.60

Values from the calculation:
E: -3.451 eV per atom
space group: Amm2 (38)

No. 5
Here is LaSnOs after structural relaxation from OQMD. Energies are from PBE.

a = 4.7806 Å, b = 4.7806 Å, c = 4.7806 Å
α = 60.00°, β = 60.00°, γ = 60.00°
With the nearest neighbours (Å) after each atom.
Atoms (fractional coordinates):
La (0.2500, 0.2500, 0.2500)  4 Os 2.93
Os (0.0000, 0.0000, 0.0000)  4 Sn 2.93, 4 La 2.93
Sn (0.7500, 0.7500, 0.7500)  4 Os 2.93

Values from the calculation:
E: -6.796 eV per atom
size of the total moment: 0.003 μB per cell
space group: F-43m (216)

No. 6
Here is NaHfTaOs after structural relaxation from OQMD. Energies are from PBE.

a = 4.6465 Å, b = 4.6465 Å, c = 4.6465 Å
α = 60.00°, β = 60.00°, γ = 60.00°
With the nearest neighbours (Å) after each atom.
Atoms (fractional coordinates):
Hf (0.0000, 0.0000, 0.0000)  4 Os 2.85, 4 Na 2.85
Na (0.7500, 0.7500, 0.7500)  4 Hf 2.85, 4 Ta 2.85
Os (0.2500, 0.2500, 0.2500)  4 Ta 2.85, 4 Hf 2.85
Ta (0.5000, 0.5000, 0.5000)  4 Os 2.85, 4 Na 2.85

Values from the calculation:
energy above the most stable polymorph in this dataset: 0 meV per atom
size of the total moment: 0.001 μB per cell
space group: F-43m (216)

No. 7
Here is ErCuTc after structural relaxation from OQMD. Energies are from PBE.

a = 4.4188 Å, b = 4.4188 Å, c = 4.4188 Å
α = 60.00°, β = 60.00°, γ = 60.00°
With the nearest neighbours (Å) after each atom.
Atoms (fractional coordinates):
Cu (0.2500, 0.2500, 0.2500)  4 Er 2.71
Er (0.0000, 0.0000, 0.0000)  4 Tc 2.71, 4 Cu 2.71
Tc (0.7500, 0.7500, 0.7500)  4 Er 2.71

Values from the calculation:
formation energy from the elements: 1.07 eV per atom
size of the total moment: 1.467 μB per cell
space group: F-43m (216)

No. 8
Here is PmZn2 after structural relaxation from OQMD. Energies are from PBE.

a = 14.1443 Å, b = 3.6811 Å, c = 4.7232 Å
α = 90.00°, β = 90.00°, γ = 90.00°
With the nearest neighbours (Å) after each atom.
Atoms (fractional coordinates):
Pm (0.6380, 0.0000, 0.0000)  8 Zn 3.01-3.31, 2 Pm 3.36
Pm (0.1380, 0.5000, 0.0000)  8 Zn 3.01-3.31, 2 Pm 3.36
Pm (0.8065, 0.0000, 0.5000)  8 Zn 3.01-3.31, 2 Pm 3.36
Pm (0.3065, 0.5000, 0.5000)  8 Zn 3.01-3.31, 2 Pm 3.36
Zn (0.3416, 0.0000, 0.0000)  2 Zn 2.59
Zn (0.9700, 0.0000, 0.0000)  2 Zn 2.59
Zn (0.4700, 0.5000, 0.0000)  2 Zn 2.59
Zn (0.8416, 0.5000, 0.0000)  2 Zn 2.59
Zn (0.1028, 0.0000, 0.5000)  2 Zn 2.59
Zn (0.4744, 0.0000, 0.5000)  2 Zn 2.59
Zn (0.6028, 0.5000, 0.5000)  2 Zn 2.59
Zn (0.9744, 0.5000, 0.5000)  2 Zn 2.59

Values from the calculation:
energy above the most stable polymorph in this dataset: 152 meV per atom
formation energy from the elements: -0.22 eV per atom
size of the total moment: 0.002 μB per cell
space group: Cmcm (63)

No. 9
Here is TbTlOs after structural relaxation from OQMD. Energies are from PBE.

a = 4.7109 Å, b = 4.7109 Å, c = 4.7109 Å
α = 60.00°, β = 60.00°, γ = 60.00°
With the nearest neighbours (Å) after each atom.
Atoms (fractional coordinates):
Os (0.2500, 0.2500, 0.2500)  4 Tl 2.88
Tb (0.7500, 0.7500, 0.7500)  4 Tl 2.88
Tl (0.0000, 0.0000, 0.0000)  4 Tb 2.88, 4 Os 2.88

Values from the calculation:
E: -5.389 eV per atom
size of the total moment: 0.041 μB per cell
space group: F-43m (216)

No. 10
Here is La3Cu2Ge4Pt2 after structural relaxation from OQMD. Energies are from PBE.

a = 12.7997 Å, b = 12.7997 Å, c = 12.7997 Å
α = 160.65°, β = 160.50°, γ = 27.60°
With the nearest neighbours (Å) after each atom.
Atoms (fractional coordinates):
Cu (0.4047, 0.4047, 0.0000)  3 Ge 2.41-2.44
Cu (0.5953, 0.5953, 0.0000)  3 Ge 2.41-2.44
Ge (0.3066, 0.3066, 0.0000)  1 Cu 2.44, 4 Pt 2.57-2.59
Ge (0.6934, 0.6934, 0.0000)  1 Cu 2.44, 4 Pt 2.57-2.59
Ge (0.5513, 0.0513, 0.5000)  2 Cu 2.41, 1 Ge 2.55
Ge (0.4487, 0.9487, 0.5000)  2 Cu 2.41, 1 Ge 2.55
La (0.1487, 0.1487, 0.0000)  6 Ge 3.25, 4 Pt 3.29-3.35, 4 Cu 3.33
La (0.8513, 0.8513, 0.0000)  6 Ge 3.25, 4 Pt 3.29-3.35, 4 Cu 3.33
La (0.0000, 0.5000, 0.5000)  4 Cu 3.21, 8 Ge 3.31
Pt (0.7514, 0.2514, 0.5000)  4 Ge 2.57-2.59
Pt (0.2486, 0.7486, 0.5000)  4 Ge 2.57-2.59

Values from the calculation:
E: -5.579 eV per atom
size of the total moment: 0.030 μB per cell
space group: Immm (71)

No. 11
Here is HoSi after structural relaxation from OQMD. Energies are from PBE.

a = 4.2831 Å, b = 4.2831 Å, c = 4.2831 Å
α = 54.15°, β = 54.15°, γ = 54.15°
With the nearest neighbours (Å) after each atom.
Atoms (fractional coordinates):
Ho (0.0000, 0.0000, 0.0000)  6 Si 2.90
Si (0.5000, 0.5000, 0.5000)  6 Ho 2.90

Values from the calculation:
E: -5.446 eV per atom
size of the total moment: 0.003 μB per cell
space group: R-3m (166)

No. 12
Here is RbSiTc after structural relaxation from OQMD. Energies are from PBE.

a = 4.5258 Å, b = 4.5258 Å, c = 4.5258 Å
α = 60.00°, β = 60.00°, γ = 60.00°
With the nearest neighbours (Å) after each atom.
Atoms (fractional coordinates):
Rb (0.2500, 0.2500, 0.2500)  4 Tc 2.77
Si (0.7500, 0.7500, 0.7500)  4 Tc 2.77
Tc (0.0000, 0.0000, 0.0000)  4 Rb 2.77, 4 Si 2.77

Values from the calculation:
energy above the most stable polymorph in this dataset: 0 meV per atom
size of the total moment: 0.021 μB per cell
space group: F-43m (216)